Record 1
DFT (meta-GGA SCAN) results for LiH6IO7 at its PBEsol-relaxed geometry.

electronic total energy: -117.80 eV/f.u.
Fermi-level density of states: 0.0 states/eV/cell
V: 8.8 Å³/atom

Cell lengths 5.609, 5.673, 9.491 Å; angles 103.42, 93.40, 114.15 degrees
Fractional positions:
H  0.182  0.563  0.272
H  0.712  0.251  0.985
H  0.637  0.425  0.415
O  0.362  0.631  0.955
O  0.166  0.830  0.364
O  0.834  0.170  0.636
Li  0.250  0.273  0.987
O  0.638  0.369  0.045
H  0.288  0.749  0.015
H  0.297  0.933  0.713
O  0.842  0.069  0.899
H  0.651  0.351  0.146
O  0.447  0.735  0.680
O  0.181  0.397  0.201
H  0.349  0.649  0.854
I  0.166  0.116  0.286
I  0.834  0.884  0.714
O  0.831  0.682  0.530
H  0.703  0.067  0.287
O  0.169  0.318  0.470
H  0.966  0.209  0.562
O  0.158  0.931  0.101
H  0.363  0.575  0.585
O  0.216  0.060  0.754
H  0.034  0.791  0.438
O  0.819  0.603  0.799
O  0.553  0.265  0.320
Li  0.750  0.727  0.013
H  0.818  0.437  0.728
O  0.784  0.940  0.246

---

Record 2
DFT (meta-GGA SCAN) results for Li2HIO at its PBEsol-relaxed geometry.

electronic total energy: -51.45 eV/f.u.
excess energy over the best structure of this formula in the dataset: 1507.4 meV/atom
V: 22.1 Å³/atom

Cell lengths 4.060, 5.212, 5.212 Å; angles 90.00, 90.00, 90.00 degrees
Fractional positions:
H  0.500  0.500  0.500
O  0.500  0.000  0.000
I  0.000  0.000  0.000
Li  0.000  0.500  0.000
Li  0.000  0.000  0.500

---

Record 3
DFT (meta-GGA SCAN) results for Li2HIO at its PBEsol-relaxed geometry.

electronic total energy: -58.98 eV/f.u.
Fermi-level density of states: 0.0 states/eV/cell
excess energy over the best structure of this formula in the dataset: 0.0 meV/atom
V: 18.6 Å³/atom

Cell lengths 5.547, 6.460, 10.359 Å; angles 90.00, 90.00, 90.00 degrees
Fractional positions:
O  0.750  0.084  0.520
I  0.250  0.428  0.326
I  0.250  0.072  0.826
Li  0.501  0.066  0.392
I  0.750  0.928  0.174
Li  0.001  0.566  0.108
O  0.250  0.584  0.980
Li  0.999  0.434  0.892
Li  0.499  0.566  0.108
I  0.750  0.572  0.674
H  0.250  0.773  0.446
H  0.750  0.227  0.554
Li  0.501  0.434  0.892
Li  0.999  0.066  0.392
Li  0.001  0.934  0.608
H  0.750  0.273  0.054
Li  0.499  0.934  0.608
O  0.250  0.916  0.480
H  0.250  0.727  0.946
O  0.750  0.416  0.020

---

Record 4
DFT (meta-GGA SCAN) results for LiSb2HI at its PBEsol-relaxed geometry.

electronic total energy: -113.48 eV/f.u.
Fermi-level density of states: 2.4 states/eV/cell
excess energy over the best structure of this formula in the dataset: 680.9 meV/atom
V: 26.0 Å³/atom

Cell lengths 4.909, 4.909, 5.390 Å; angles 90.00, 90.00, 90.00 degrees
Site moments in Bohr magnetons follow the coordinates.
Fractional positions:
H  0.500  0.500  0.500  0.34
Li  0.000  0.000  0.000  0.00
Sb  0.000  0.500  0.000  0.00
I  0.000  0.000  0.500  0.02
Sb  0.500  0.000  0.000  0.00